[1]
An optimized crystal structure of Mg2Ag4Au, computed with PBE.

Properties
DFT formation energy (eV/atom): 0.34

Cell lengths 5.126, 5.126, 13.813 Å; angles 90.00, 90.00, 90.00 degrees
Space group I4/mmm (No. 139)
Asymmetric unit:
Mg: 0.000 0.000 0.111 x4
Ag: 0.000 0.000 0.303 x4
Ag: 0.000 0.500 0.000 x4
Au: 0.000 0.000 0.500 x2

[2]
An optimized crystal structure of Ba2LiCu, computed with PBE.

Properties
DFT formation energy (eV/atom): 0.00

Cell lengths 8.044, 4.647, 8.831 Å; angles 90.00, 107.72, 90.00 degrees
Space group Cm (No. 8)
Asymmetric unit:
Ba: 0.000 0.000 0.000 x2
Ba: 0.177 0.000 0.530 x2
Li: 0.255 0.500 0.265 x2
Cu: 0.421 0.000 0.265 x2

[3]
An optimized crystal structure of Er3Pb, computed with PBE.

Properties
DFT formation energy (eV/atom): -0.24

Cell lengths 3.547, 11.057, 5.905 Å; angles 90.00, 90.00, 90.00 degrees
Space group Imm2 (No. 44)
Asymmetric unit:
Er: 0.000 0.000 0.000 x2
Er: 0.000 0.234 0.638 x4
Pb: 0.000 0.500 0.972 x2

[4]
An optimized crystal structure of P3RhO, computed with PBE.

Properties
Formation energy (no corrections) (eV per formula unit): 5.44

Cell lengths 4.545, 4.545, 4.545 Å; angles 90.00, 90.00, 90.00 degrees
Space group Pm-3m (No. 221)
Asymmetric unit:
P: 0.000 0.000 0.500 x3
Rh: 0.000 0.000 0.000 x1
O: 0.500 0.500 0.500 x1

[5]
An optimized crystal structure of MnV6Os5, computed with PBE.

Properties
DFT formation energy (eV/atom): -0.25

Cell lengths 4.249, 12.744, 5.985 Å; angles 90.00, 90.00, 90.00 degrees
Space group Cmmm (No. 65)
Asymmetric unit:
Mn: 0.000 0.000 0.000 x2
V: 0.000 0.162 0.245 x8
V: 0.000 0.500 0.241 x4
Os: 0.000 0.000 0.500 x2
Os: 0.000 0.331 0.500 x4
Os: 0.000 0.333 0.000 x4

[6]
An optimized crystal structure of Pm3ErSc2Se6, computed with PBE.

Properties
Formation energy (no corrections) (eV per formula unit): -20.70

Cell lengths 6.955, 12.105, 7.160 Å; angles 90.00, 109.02, 90.00 degrees
Space group C2/m (No. 12)
Asymmetric unit:
Pm: 0.000 0.000 0.000 x2
Pm: 0.000 0.337 0.000 x4
Er: 0.000 0.500 0.500 x2
Sc: 0.000 0.167 0.500 x4
Se: 0.234 0.000 0.725 x4
Se: 0.246 0.330 0.729 x8

[7]
An optimized crystal structure of LaNb3Cl, computed with PBE.

Properties
Formation energy (no corrections) (eV per formula unit): 10.02

Cell lengths 4.991, 4.991, 4.991 Å; angles 90.00, 90.00, 90.00 degrees
Space group Pm-3m (No. 221)
Asymmetric unit:
La: 0.000 0.000 0.000 x1
Nb: 0.000 0.000 0.500 x3
Cl: 0.500 0.500 0.500 x1

[8]
An optimized crystal structure of FeNiRu2, computed with PBE.

Properties
DFT formation energy (eV/atom): 1.21

Cell lengths 5.310, 5.310, 9.933 Å; angles 90.00, 90.00, 90.00 degrees
Space group I-42d (No. 122)
Asymmetric unit:
Fe: 0.000 0.000 0.000 x4
Ni: 0.000 0.000 0.500 x4
Ru: 0.238 0.250 0.125 x8

[9]
An optimized crystal structure of ReHN, computed with PBE.

Properties
Final energy (eV per atom): -7.807

Cell lengths 11.864, 2.854, 3.140 Å; angles 90.00, 97.96, 90.00 degrees
Space group Cm (No. 8)
Asymmetric unit:
Re: 0.000 0.000 0.000 x2
Re: 0.143 0.500 0.579 x2
H: 0.208 0.500 0.109 x2
H: 0.314 0.000 0.328 x2
N: 0.278 0.000 0.626 x2
N: 0.374 0.000 0.931 x2

[10]
An optimized crystal structure of Na4Ac3ThTe8, computed with PBE.

Properties
Formation energy (no corrections) (eV per formula unit): -20.87

Cell lengths 9.3695, 9.3695, 22.7883 Å; angles 90.00, 90.00, 120.00 degrees
Space group R-3m (No. 166, hexagonal axes)
Asymmetric unit:
Na: 0.0000 0.0000 0.0000 x3
Na: 0.0000 0.5000 0.0000 x9
Ac: 0.0000 0.5000 0.5000 x9
Th: 0.0000 0.0000 0.5000 x3
Te: 0.0000 0.0000 0.2516 x6
Te: 0.0146 0.5073 0.2488 x18

[11]
An optimized crystal structure of VGaTcNi, computed with PBE.

Properties
DFT formation energy (eV/atom): -0.24

Cell lengths 5.966, 5.966, 5.966 Å; angles 90.00, 90.00, 90.00 degrees
Space group F-43m (No. 216)
Asymmetric unit:
V: 0.000 0.000 0.000 x4
Ga: 0.000 0.000 0.500 x4
Tc: 0.250 0.250 0.750 x4
Ni: 0.250 0.250 0.250 x4

[12]
An optimized crystal structure of LiCoHgAu2, computed with PBE.

Properties
DFT formation energy (eV/atom): 0.43

Cell lengths 4.826, 4.826, 4.557 Å; angles 90.00, 90.00, 90.00 degrees
Space group P4/mmm (No. 123)
Asymmetric unit:
Li: 0.000 0.000 0.000 x1
Co: 0.000 0.000 0.500 x1
Hg: 0.500 0.500 0.000 x1
Au: 0.000 0.500 0.500 x2

no.,V (A^3/atom)
1,25.9
2,39.3
3,29.0
4,18.8
5,13.5
6,23.7
7,24.9
8,17.5
9,8.8
10,36.1
11,13.3
12,21.2